Below is crystalline AlAs2P at its relaxed geometry, with properties calculated at the GGA-PBE level.

Properties
Space-group type = P4/mmm, No. 123
VASP energy = -4.278 eV/atom
Formation energy = 1.3 eV/f.u.
Relative energy among the computed polymorphs = 413 meV per atom

```
AlAs2P
1.0
3.666 0.000 0.000
0.000 3.666 0.000
0.000 0.000 5.544
Al As P
1 2 1
Direct
0.000 0.000 0.000
0.000 0.500 0.500
0.500 0.000 0.500
0.500 0.500 0.000
```

=====

Below is crystalline NpHBr3 at its relaxed geometry, with properties calculated at the GGA-PBE level.

Properties
Space-group type = P2_1/m, No. 11
VASP energy = -5.039 eV/atom
Relative energy among the computed polymorphs = 69 meV per atom

```
NpHBr3
1.0
7.991 0.000 0.000
0.000 4.111 0.000
-1.122 0.000 8.036
Np H Br
2 2 6
Direct
0.147 0.250 0.266
0.853 0.750 0.734
0.368 0.250 0.408
0.632 0.750 0.592
0.112 0.250 0.874
0.178 0.750 0.534
0.370 0.750 0.176
0.630 0.250 0.824
0.822 0.250 0.466
0.888 0.750 0.126
```

=====

Below is crystalline GaCu2MoP at its relaxed geometry, with properties calculated at the GGA-PBE level.

Properties
Space-group type = P4/mmm, No. 123
VASP energy = -5.130 eV/atom
Formation energy = 1.8 eV/f.u.

```
GaCu2MoP
1.0
4.229 0.000 0.000
0.000 4.229 0.000
0.000 0.000 4.677
Ga Cu Mo P
1 2 1 1
Direct
0.000 0.000 0.000
0.000 0.500 0.500
0.500 0.000 0.500
0.500 0.500 0.000
0.500 0.500 0.500
```

=====

Below is crystalline MgSn2Ge at its relaxed geometry, with properties calculated at the GGA-PBE level.

Properties
Space-group type = Fm-3m, No. 225
VASP energy = -3.475 eV/atom
Formation energy = 0.3 eV/f.u.
Relative energy among the computed polymorphs = 40 meV per atom

```
MgSn2Ge
1.0
7.266 0.000 0.000
0.000 7.266 0.000
0.000 0.000 7.266
Mg Sn Ge
4 8 4
Direct
0.000 0.000 0.000
0.000 0.500 0.500
0.500 0.000 0.500
0.500 0.500 0.000
0.250 0.250 0.250
0.250 0.250 0.750
0.250 0.750 0.250
0.250 0.750 0.750
0.750 0.250 0.250
0.750 0.250 0.750
0.750 0.750 0.250
0.750 0.750 0.750
0.000 0.000 0.500
0.000 0.500 0.000
0.500 0.000 0.000
0.500 0.500 0.500
```

=====

Below is crystalline YMgAs at its relaxed geometry, with properties calculated at the GGA-PBE level.

Properties
Space-group type = Imm2, No. 44
VASP energy = -4.752 eV/atom
Formation energy = -1.5 eV/f.u.
Relative energy among the computed polymorphs = 358 meV per atom

```
YMgAs
1.0
3.286 0.000 0.000
0.000 3.715 0.000
0.000 0.000 11.569
Y Mg As
2 2 2
Direct
0.000 0.000 0.000
0.500 0.500 0.500
0.000 0.000 0.715
0.500 0.500 0.215
0.000 0.000 0.351
0.500 0.500 0.851
```

=====

Below is crystalline TlTc2Mo at its relaxed geometry, with properties calculated at the GGA-PBE level.

Properties
Space-group type = Pmm2, No. 25
VASP energy = -8.042 eV/atom
Formation energy = 1.8 eV/f.u.
Relative energy among the computed polymorphs = 39 meV per atom

```
TlTc2Mo
1.0
2.929 0.000 0.000
0.000 4.045 0.000
0.000 0.000 5.743
Tl Tc Mo
1 2 1
Direct
0.000 0.000 0.000
0.000 0.000 0.505
0.500 0.500 0.711
0.500 0.500 0.295
```

=====

Repeat the third record exactly.
Below is crystalline GaCu2MoP at its relaxed geometry, with properties calculated at the GGA-PBE level.

Properties
Space-group type = P4/mmm, No. 123
VASP energy = -5.130 eV/atom
Formation energy = 1.8 eV/f.u.

```
GaCu2MoP
1.0
4.229 0.000 0.000
0.000 4.229 0.000
0.000 0.000 4.677
Ga Cu Mo P
1 2 1 1
Direct
0.000 0.000 0.000
0.000 0.500 0.500
0.500 0.000 0.500
0.500 0.500 0.000
0.500 0.500 0.500
```